No. 1
The following is a DFT calculation (PBE) of an optimized crystal structure of PrThSn.

Properties
V, Å³ per cell: 418
Final energy, eV per atom: -5.620
Total magnetization, μB/f.u.: 0.0

```
data_PrThSn
_symmetry_space_group_name_H-M 'F -4 3 m'
_symmetry_Int_Tables_number 216
_symmetry_space_group_name_Hall 'F -4 2 3'
_cell_length_a 7.477
_cell_length_b 7.477
_cell_length_c 7.477
_cell_angle_alpha 90.00
_cell_angle_beta 90.00
_cell_angle_gamma 90.00
loop_
_atom_site_label
_atom_site_type_symbol
_atom_site_fract_x
_atom_site_fract_y
_atom_site_fract_z
Pr1 Pr 0.000 0.000 0.000
Th1 Th 0.000 0.000 0.500
Sn1 Sn 0.250 0.250 0.250
```

No. 2
The following is a DFT calculation (PBE) of an optimized crystal structure of AlZn2Co.

Properties
V, Å³ per cell: 207
Final energy, eV per atom: -3.425
Total magnetization, μB/f.u.: 0.0

```
data_AlZn2Co
_symmetry_space_group_name_H-M 'F -4 3 m'
_symmetry_Int_Tables_number 216
_symmetry_space_group_name_Hall 'F -4 2 3'
_cell_length_a 5.916
_cell_length_b 5.916
_cell_length_c 5.916
_cell_angle_alpha 90.00
_cell_angle_beta 90.00
_cell_angle_gamma 90.00
loop_
_atom_site_label
_atom_site_type_symbol
_atom_site_fract_x
_atom_site_fract_y
_atom_site_fract_z
Al1 Al 0.000 0.000 0.000
Zn1 Zn 0.000 0.000 0.500
Zn2 Zn 0.250 0.250 0.750
Co1 Co 0.250 0.250 0.250
```

No. 3
The following is a DFT calculation (PBE) of an optimized crystal structure of NiMoPbW.

Properties
V, Å³ per cell: 265
Final energy, eV per atom: -7.612
Total magnetization, μB/f.u.: 0.3

```
data_NiMoPbW
_symmetry_space_group_name_H-M 'F -4 3 m'
_symmetry_Int_Tables_number 216
_symmetry_space_group_name_Hall 'F -4 2 3'
_cell_length_a 6.425
_cell_length_b 6.425
_cell_length_c 6.425
_cell_angle_alpha 90.00
_cell_angle_beta 90.00
_cell_angle_gamma 90.00
loop_
_atom_site_label
_atom_site_type_symbol
_atom_site_fract_x
_atom_site_fract_y
_atom_site_fract_z
Ni1 Ni 0.000 0.000 0.000
Mo1 Mo 0.000 0.000 0.500
Pb1 Pb 0.250 0.250 0.750
W1 W 0.250 0.250 0.250
```

Going through the records in order, we get density values of 7.8; 7.0; 13.7 g/cm3.